No. 1
SmDy2N: optimized geometry, PBE.

```
data_SmDy2N
_chemical_formula_sum 'Sm3 Dy6 N3'
_symmetry_space_group_name_H-M 'R -3 m'
_symmetry_Int_Tables_number 166
_symmetry_space_group_name_Hall '-R 3 2"'
_cell_length_a 3.4549
_cell_length_b 3.4549
_cell_length_c 28.7095
_cell_angle_alpha 90.00
_cell_angle_beta 90.00
_cell_angle_gamma 120.00
loop_
_atom_site_label
_atom_site_type_symbol
_atom_site_fract_x
_atom_site_fract_y
_atom_site_fract_z
Sm1 Sm 0.0000 0.0000 0.0000
Dy1 Dy 0.0000 0.0000 0.1205
N1 N 0.0000 0.0000 0.5000
```

The uncorrected formation energy comes out at -686 meV/atom.


No. 2
LiMnTe2: optimized geometry, PBE.

```
data_LiMnTe2
_chemical_formula_sum 'Li2 Mn2 Te4'
_symmetry_space_group_name_H-M 'I m m 2'
_symmetry_Int_Tables_number 44
_symmetry_space_group_name_Hall 'I 2 -2'
_cell_length_a 3.6674
_cell_length_b 3.8740
_cell_length_c 13.6954
_cell_angle_alpha 90.00
_cell_angle_beta 90.00
_cell_angle_gamma 90.00
loop_
_atom_site_label
_atom_site_type_symbol
_atom_site_fract_x
_atom_site_fract_y
_atom_site_fract_z
Li1 Li 0.0000 0.0000 0.0000
Mn1 Mn 0.0000 0.5000 0.7618
Te1 Te 0.0000 0.0000 0.4116
Te2 Te 0.0000 0.5000 0.1743
```

The uncorrected formation energy comes out at -326 meV/atom.


No. 3
La3Nd5Pt2: optimized geometry, PBE.

```
data_La3Nd5Pt2
_chemical_formula_sum 'La12 Nd20 Pt8'
_symmetry_space_group_name_H-M 'I b a m'
_symmetry_Int_Tables_number 72
_symmetry_space_group_name_Hall '-I 2 2c'
_cell_length_a 12.8211
_cell_length_b 14.4961
_cell_length_c 7.1847
_cell_angle_alpha 90.00
_cell_angle_beta 90.00
_cell_angle_gamma 90.00
loop_
_atom_site_label
_atom_site_type_symbol
_atom_site_fract_x
_atom_site_fract_y
_atom_site_fract_z
La1 La 0.0000 0.0000 0.2500
La2 La 0.2367 0.1737 0.0000
Nd1 Nd 0.0000 0.2708 0.2500
Nd2 Nd 0.0000 0.5000 0.2500
Nd3 Nd 0.2032 0.4290 0.0000
Pt1 Pt 0.0984 0.1472 0.5000
```


| no. | spin magnetization (μB/f.u.) | total energy (eV for the cell shown) |
| --- | --- | --- |
| 1 | 0.00 | -74.981 |
| 2 | 4.06 | -37.338 |
| 3 | 0.00 | -216.331 |